A geometry-optimized TmMg14Zn structure, computed with PBE.

Uncorrected energy, eV per atom: -1.75
Energy relative to the elements, kJ per mole of atoms: 0.4
Density of states at the Fermi level, states/eV/cell: 6.3

Cell and atoms, written as POSCAR:
```
TmMg14Zn
1.0
7.403 -0.016 0.000
0.016 7.403 0.000
0.000 0.000 6.666
Mg Tm Zn
14 1 1
direct
0.375 0.875 0.500
0.612 0.612 0.256
0.138 0.612 0.256
0.375 0.875 0.000
0.138 0.138 0.744
0.875 0.875 0.000
0.375 0.375 0.000
0.612 0.612 0.744
0.875 0.375 0.500
0.612 0.138 0.744
0.138 0.612 0.744
0.138 0.138 0.256
0.612 0.138 0.256
0.875 0.375 0.000
0.875 0.875 0.500
0.375 0.375 0.500
```